[1]
# AcTl4Pb, relaxed, DFT PBE-GGA
# Volume: 31.429 A^3/atom
# N(E_F): 4.050 states/eV/cell
# M_tot: 0.00 μB per atom
# Formation energy: -1.09 eV/f.u.
# Polymorph energy (0 for the lowest one): 0 meV per atom
data_AcTl4Pb
_cell_length_a 4.882
_cell_length_b 5.274
_cell_length_c 7.711
_cell_angle_alpha 90.00
_cell_angle_beta 108.23
_cell_angle_gamma 90.00
_space_group_name_H-M_alt 'P 1'
_space_group_IT_number 1
loop_
_space_group_symop_operation_xyz
'x,y,z'
loop_
_atom_site_label
_atom_site_fract_x
_atom_site_fract_y
_atom_site_fract_z
Ac1 0.000 0.000 0.000
Tl1 0.166 0.500 0.340
Tl2 0.323 0.000 0.645
Tl3 0.677 0.000 0.355
Tl4 0.834 0.500 0.660
Pb1 0.500 0.500 0.000


[2]
# Rb8As2O, relaxed, DFT PBE-GGA
# Volume: 48.514 A^3/atom
# N(E_F): 9.656 states/eV/cell
# M_tot: 0.01 μB per atom
# Polymorph energy (0 for the lowest one): 36 meV per atom
data_Rb8As2O
_cell_length_a 9.114
_cell_length_b 9.114
_cell_length_c 10.509
_cell_angle_alpha 99.24
_cell_angle_beta 99.24
_cell_angle_gamma 38.34
_space_group_name_H-M_alt 'P 1'
_space_group_IT_number 1
loop_
_space_group_symop_operation_xyz
'x,y,z'
loop_
_atom_site_label
_atom_site_fract_x
_atom_site_fract_y
_atom_site_fract_z
Rb1 0.041 0.041 0.261
Rb2 0.193 0.193 0.571
Rb3 0.305 0.305 0.936
Rb4 0.425 0.425 0.371
Rb5 0.575 0.575 0.629
Rb6 0.695 0.695 0.064
Rb7 0.807 0.807 0.429
Rb8 0.959 0.959 0.739
As1 0.237 0.237 0.245
As2 0.763 0.763 0.755
O1 0.000 0.000 0.500


[3]
# La6CoTc2Cl3, relaxed, DFT PBE-GGA
# Total DFT energy (no corrections): -6.038 eV per atom
# Volume: 27.183 A^3/atom
# N(E_F): 5.380 states/eV/cell
# M_tot: 0.00 μB per atom
data_La6CoTc2Cl3
_cell_length_a 9.881
_cell_length_b 9.881
_cell_length_c 8.753
_cell_angle_alpha 114.09
_cell_angle_beta 114.09
_cell_angle_gamma 24.85
_space_group_name_H-M_alt 'P 1'
_space_group_IT_number 1
loop_
_space_group_symop_operation_xyz
'x,y,z'
loop_
_atom_site_label
_atom_site_fract_x
_atom_site_fract_y
_atom_site_fract_z
La1 0.003 0.003 0.217
La2 0.324 0.324 0.177
La3 0.336 0.336 0.770
La4 0.664 0.664 0.230
La5 0.676 0.676 0.823
La6 0.997 0.997 0.783
Co1 0.500 0.500 0.000
Tc1 0.139 0.139 0.025
Tc2 0.861 0.861 0.975
Cl1 0.167 0.167 0.531
Cl2 0.500 0.500 0.500
Cl3 0.833 0.833 0.469


- Among the records above, which one has the lowest N(E_F)?
  AcTl4Pb


- Among the records above, which one has the lowest N(E_F)?
  AcTl4Pb


- Look up the M_tot of the first one.
  0.00 μB per atom